Entry from Alexandria: KCoPO4 after structural relaxation (PBE+U).

## Properties
symmetry: P2_1/m
final energy: -6.4127 eV/atom
crystal system: monoclinic

a = 5.1796 Å, b = 5.5886 Å, c = 7.0759 Å
α = 90.00°, β = 106.44°, γ = 90.00°
Atoms (fractional coordinates):
K1 0.2035 0.2500 0.4317
K2 0.7965 0.7500 0.5683
Co1 0.2950 0.2500 0.9619
Co2 0.7050 0.7500 0.0381
P1 0.2537 0.7500 0.1550
P2 0.7463 0.2500 0.8450
O1 0.0469 0.7500 0.9483
O2 0.0910 0.7500 0.3079
O3 0.4522 0.5310 0.1792
O4 0.4522 0.9690 0.1792
O5 0.5478 0.0310 0.8208
O6 0.5478 0.4690 0.8208
O7 0.9090 0.2500 0.6921
O8 0.9531 0.2500 0.0517